1.
10
Lattice="5.250 0.000 0.000 -2.625 4.547 0.000 0.000 0.000 7.157" Properties=species:S:1:pos:R:3 comment="MoPd6Au3 | the Alexandria database | PBE-GGA | optimized geometry" e_above_lowest_polymorph_mev_per_atom=142 sg=P-31m ef_ev_per_atom=0.1242 pbc="T T T"
Mo 0.000 0.000 0.000
Pd 1.561 2.704 5.873
Pd -1.064 1.843 5.873
Pd 2.128 0.000 5.873
Pd -1.561 2.704 1.285
Pd 1.064 1.843 1.285
Pd 3.122 0.000 1.285
Au 0.000 0.000 3.579
Au 2.625 1.516 3.579
Au 0.000 3.031 3.579

---

2.
12
Lattice="-4.765 -3.147 0.824 2.767 -0.221 -5.059 3.767 -3.112 3.275" Properties=species:S:1:pos:R:3 comment="Na3Ho2GeO6 | the Alexandria database | PBE-GGA | optimized geometry" sg=C2/m formation_energy_uncorrected_ev_per_atom=-2.281 pbc="T T T"
Na 3.469 -2.236 -2.499
Na -1.701 -4.245 1.539
Na 0.884 -3.240 -0.480
Ho 0.259 -1.195 -3.100
Ho -2.258 -2.173 -1.134
Ge 0.000 0.000 0.000
O 0.229 -5.522 0.265
O -0.708 -3.165 -2.481
O 1.539 -0.959 -1.224
O 2.640 -4.585 -1.618
O 2.476 -3.316 1.521
O -0.872 -1.896 0.658

---

3.
4
Lattice="2.983 -3.065 -1.692 2.740 -2.356 2.845 -0.697 -4.497 0.666" Properties=species:S:1:pos:R:3 comment="ZrReSe2 | the Alexandria database | PBE-GGA | optimized geometry" e_above_lowest_polymorph_mev_per_atom=331 sg=Fm-3m formation_energy_uncorrected_ev_per_atom=-0.089 pbc="T T T"
Re 2.513 -4.959 0.909
Se 1.256 -2.479 0.455
Se 3.769 -7.438 1.364
Zr 0.000 0.000 0.000

---

4.
6
Lattice="3.332 0.000 0.000 0.000 3.401 0.000 -1.666 0.000 12.309" Properties=species:S:1:pos:R:3 comment="PrPuZn | the Alexandria database | PBE-GGA | optimized geometry" e_above_lowest_polymorph_mev_per_atom=235 sg=Cmcm ef_ev_per_atom=0.2102 pbc="T T T"
Zn 0.000 0.850 11.372
Zn 1.666 2.551 0.937
Pr 1.666 2.551 9.287
Pr 0.000 0.850 3.022
Pu 1.666 0.850 5.822
Pu 0.000 2.551 6.487

---

5.
4
Lattice="-4.710 -6.845 -2.361 -4.003 -7.642 0.437 -6.352 -5.854 -0.062" Properties=species:S:1:pos:R:3 comment="InOs2Se | the Alexandria database | PBE-GGA | optimized geometry" e_above_lowest_polymorph_mev_per_atom=298 sg=R-3m formation_energy_uncorrected_ev_per_atom=0.619 pbc="T T T"
In -11.298 -15.256 -1.490
Os -14.969 -20.212 -1.974
Os -7.628 -10.299 -1.006
Se -3.766 -5.085 -0.497

---

6.
3
Lattice="6.217 0.000 0.000 3.108 5.384 0.000 3.108 1.795 5.076" Properties=species:S:1:pos:R:3 comment="Ba2Sc | the Alexandria database | PBE-GGA | optimized geometry" e_above_lowest_polymorph_mev_per_atom=431 sg=Fm-3m ef_ev_per_atom=0.6781 pbc="T T T"
Ba 9.325 5.384 3.807
Ba 3.108 1.795 1.269
Sc 0.000 0.000 0.000

---

7.
5
Lattice="-3.128 3.699 -0.593 -1.078 -1.503 -3.689 -3.523 -2.641 2.105" Properties=species:S:1:pos:R:3 comment="LiAgW2Au | the Alexandria database | PBE-GGA | optimized geometry" sg=P4/mmm ef_ev_per_atom=1.9890 pbc="T T T"
Au -3.864 -0.222 -1.088
Ag 0.000 0.000 0.000
W -1.761 -1.320 1.053
W -1.564 1.850 -0.296
Li -0.539 -0.751 -1.844

---

8.
20
Lattice="0.521 -4.151 -6.383 2.029 -5.014 5.384 -7.547 0.516 1.005" Properties=species:S:1:pos:R:3 comment="MgAl3Ga6 | the Alexandria database | PBE-GGA | optimized geometry" e_above_lowest_polymorph_mev_per_atom=67 sg=R-3 ef_ev_per_atom=0.0603 pbc="T T T"
Mg 0.000 0.000 0.000
Mg -2.498 -4.325 0.003
Al -3.577 -5.795 2.331
Al -1.575 -6.953 -0.988
Al 0.069 -3.712 1.337
Al -5.065 -4.937 -1.331
Al -3.422 -1.696 0.994
Al -1.420 -2.854 -2.325
Ga 1.665 -5.496 2.680
Ga -3.224 -5.134 4.972
Ga -0.969 -6.272 1.531
Ga 0.789 -7.458 -2.287
Ga -5.100 -3.886 1.230
Ga -2.186 -3.438 2.757
Ga -2.811 -5.211 -2.751
Ga 0.103 -4.763 -1.225
Ga -5.786 -1.191 2.293
Ga -4.028 -2.377 -1.525
Ga -1.772 -3.515 -4.966
Ga -6.662 -3.153 -2.674

---

9.
5
Lattice="-3.126 -2.083 0.855 2.227 -3.078 0.643 0.365 1.105 4.026" Properties=species:S:1:pos:R:3 comment="LiMgMn2C | the Alexandria database | PBE-GGA | optimized geometry" sg=P4/mmm ef_ev_per_atom=0.0521 pbc="T T T"
Mg -0.267 -2.028 2.762
Mn 1.113 -1.539 0.322
Mn -1.563 -1.042 0.428
C 0.000 0.000 0.000
Li 0.182 0.553 2.013

---

10.
10
Lattice="-2.317 -0.722 -4.822 4.483 -7.044 -1.100 -4.719 1.234 5.105" Properties=species:S:1:pos:R:3 comment="TbUS3 | the Alexandria database | PBE-GGA | optimized geometry" e_above_lowest_polymorph_mev_per_atom=275 sg=Imma formation_energy_uncorrected_ev_per_atom=-1.471 pbc="T T T"
Tb 2.242 -3.522 -0.550
Tb -1.159 -0.361 -2.411
U -2.080 -0.913 1.136
U -0.473 -5.619 -1.953
S 0.370 -1.390 0.031
S -2.563 -3.526 1.760
S 0.009 -3.006 -2.576
S -2.923 -5.142 -0.847
S 0.904 -5.602 0.404
S -3.458 -0.930 -1.221

---

11.
18
Lattice="6.589 -1.355 -0.961 2.076 6.399 -0.961 2.076 1.208 6.357" Properties=species:S:1:pos:R:3 comment="DyTh2P3Rh12 | the Alexandria database | PBE-GGA | optimized geometry" sg=R-3m ef_ev_per_atom=-0.4623 pbc="T T T"
Dy 0.000 0.000 0.000
Th 6.735 3.920 2.780
Th 4.007 2.332 1.654
P 3.295 -0.677 -0.481
P 1.038 3.199 -0.481
P 1.038 0.604 3.178
Rh 5.008 2.915 5.084
Rh 7.830 4.558 0.600
Rh 5.670 5.785 4.103
Rh 7.483 1.509 1.070
Rh 7.830 2.073 4.103
Rh 5.008 5.762 1.070
Rh 5.734 3.338 -0.649
Rh 2.912 1.695 3.834
Rh 5.072 0.468 0.332
Rh 3.258 4.743 3.364
Rh 2.912 4.179 0.332
Rh 5.734 0.491 3.364